1.
Crystalline Ac2NdHgTe5 at its relaxed geometry. Source: Alexandria via LeMat-Bulk, functional PBE.

E_tot   -4.465 eV/atom
Fermi-level density of states   0.409 states/eV/atom

Geometry as CIF:
```
data_Ac2NdHgTe5
_chemical_formula_sum 'Ac4 Nd2 Hg2 Te10'
_space_group_name_H-M_alt 'P 1'
_space_group_IT_number 1
_cell_length_a 4.583
_cell_length_b 10.066
_cell_length_c 13.899
_cell_angle_alpha 90.00
_cell_angle_beta 90.00
_cell_angle_gamma 103.16
loop_
_space_group_symop_operation_xyz
'x,y,z'
loop_
_atom_site_label
_atom_site_type_symbol
_atom_site_fract_x
_atom_site_fract_y
_atom_site_fract_z
Ac1 Ac 0.876 0.752 0.806
Ac2 Ac 0.123 0.245 0.683
Ac3 Ac 0.124 0.248 0.306
Ac4 Ac 0.877 0.755 0.183
Nd1 Nd 0.812 0.624 0.501
Nd2 Nd 0.188 0.376 0.001
Hg1 Hg 0.563 0.127 0.968
Hg2 Hg 0.437 0.873 0.468
Te1 Te 0.354 0.707 0.998
Te2 Te 0.701 0.403 0.836
Te3 Te 0.505 0.010 0.779
Te4 Te 0.296 0.591 0.662
Te5 Te 0.963 0.926 0.589
Te6 Te 0.646 0.293 0.498
Te7 Te 0.299 0.597 0.336
Te8 Te 0.495 0.990 0.279
Te9 Te 0.704 0.409 0.162
Te10 Te 0.037 0.074 0.089
```

2.
Crystalline AcNdTlHg at its relaxed geometry. Source: Alexandria via LeMat-Bulk, functional PBE.

Fermi-level density of states   1.403 states/eV/atom
Calculated formation energy   -0.41 eV per atom

Geometry as CIF:
```
data_AcNdTlHg
_chemical_formula_sum 'Ac1 Nd1 Tl1 Hg1'
_space_group_name_H-M_alt 'P 1'
_space_group_IT_number 1
_cell_length_a 3.959
_cell_length_b 3.959
_cell_length_c 8.062
_cell_angle_alpha 90.00
_cell_angle_beta 90.00
_cell_angle_gamma 90.00
loop_
_space_group_symop_operation_xyz
'x,y,z'
loop_
_atom_site_label
_atom_site_type_symbol
_atom_site_fract_x
_atom_site_fract_y
_atom_site_fract_z
Ac1 Ac 0.000 0.000 0.850
Nd1 Nd 0.000 0.000 0.366
Tl1 Tl 0.500 0.500 0.128
Hg1 Hg 0.500 0.500 0.584
```

3.
Crystalline AcNd2Tl2Hg2 at its relaxed geometry. Source: Alexandria via LeMat-Bulk, functional PBE.

Fermi-level density of states   0.574 states/eV/atom
Calculated formation energy   -0.27 eV per atom

Geometry as CIF:
```
data_AcNd2Tl2Hg2
_chemical_formula_sum 'Ac1 Nd2 Tl2 Hg2'
_space_group_name_H-M_alt 'P 1'
_space_group_IT_number 1
_cell_length_a 5.114
_cell_length_b 5.114
_cell_length_c 9.900
_cell_angle_alpha 75.03
_cell_angle_beta 75.03
_cell_angle_gamma 60.00
loop_
_space_group_symop_operation_xyz
'x,y,z'
loop_
_atom_site_label
_atom_site_type_symbol
_atom_site_fract_x
_atom_site_fract_y
_atom_site_fract_z
Ac1 Ac 0.000 0.000 0.000
Nd1 Nd 0.135 0.135 0.594
Nd2 Nd 0.865 0.865 0.406
Tl1 Tl 0.733 0.733 0.800
Tl2 Tl 0.267 0.267 0.200
Hg1 Hg 0.564 0.564 0.307
Hg2 Hg 0.436 0.436 0.693
```

4.
Crystalline AcNdTlHg at its relaxed geometry. Source: Alexandria via LeMat-Bulk, functional PBE.

Fermi-level density of states   1.006 states/eV/atom
Calculated formation energy   -0.40 eV per atom

Geometry as CIF:
```
data_AcNdTlHg
_chemical_formula_sum 'Ac1 Nd1 Tl1 Hg1'
_space_group_name_H-M_alt 'P 1'
_space_group_IT_number 1
_cell_length_a 5.648
_cell_length_b 5.648
_cell_length_c 5.648
_cell_angle_alpha 60.00
_cell_angle_beta 60.00
_cell_angle_gamma 60.00
loop_
_space_group_symop_operation_xyz
'x,y,z'
loop_
_atom_site_label
_atom_site_type_symbol
_atom_site_fract_x
_atom_site_fract_y
_atom_site_fract_z
Ac1 Ac 0.250 0.250 0.250
Nd1 Nd 0.750 0.750 0.750
Tl1 Tl 0.000 0.000 0.000
Hg1 Hg 0.500 0.500 0.500
```